Crystalline SrAgIr2 at its relaxed geometry, computed with GGA-PBEsol.

Geometry as POSCAR:
```
SrAgIr2
1.0
2.9299 0.0000 0.0000
0.0000 4.8355 0.0000
-1.4650 -2.4178 5.0041
Ir Ag Sr
2 1 1
direct
0.7322 0.7322 0.4645 Ir
0.2678 0.2678 0.5355 Ir
0.0000 0.5000 0.0000 Ag
0.5000 0.0000 0.0000 Sr
```

Calculated values
The energy above the most stable polymorph in this dataset is 0.80 eV/f.u. The calculation puts the total energy at -23.12 eV/cell. Its crystal system is orthorhombic. The value obtained for the density of states at the Fermi level is 2.40 states/eV/f.u.


Crystalline SiIO2F at its relaxed geometry, computed with GGA-PBEsol.

Geometry as POSCAR:
```
SiIO2F
1.0
-3.3048 -0.7886 0.2893
-0.0656 -0.9284 -3.2804
1.6175 -6.1516 1.7087
Si O I F
1 2 1 1
direct
0.0000 0.0000 0.0000 Si
0.0000 0.5000 0.0000 O
0.5000 0.0000 0.0000 O
0.5000 0.5000 0.5000 I
0.0000 0.0000 0.5000 F
```

Calculated values
The calculation puts the total energy at -25.46 eV/cell. Its crystal system is tetragonal. The energy relative to the elements, uncorrected comes out at -1.105 eV/atom. The value obtained for the density of states at the Fermi level is 2.29 states/eV/f.u.


Crystalline La3Sc at its relaxed geometry, computed with GGA-PBEsol.

Geometry as POSCAR:
```
La3Sc
1.0
-2.3004 -2.6636 0.5217
2.7014 -1.0012 -5.3323
3.9787 -2.7088 3.7138
Sc La
1 3
direct
0.5000 0.0000 0.0000 Sc
0.0000 0.0000 0.5000 La
0.2446 0.4893 0.2388 La
0.7554 0.5107 0.7612 La
```

Calculated values
The calculation puts the total energy at -22.52 eV/cell. Its crystal system is monoclinic. The value obtained for the density of states at the Fermi level is 4.89 states/eV/f.u.


Crystalline TaSn2HgI at its relaxed geometry, computed with GGA-PBEsol.

Geometry as POSCAR:
```
TaSn2HgI
1.0
-1.3503 2.9662 4.3316
-0.1012 -4.4865 3.0407
5.2249 0.6735 1.1676
Ta Sn I Hg
1 2 1 1
direct
0.0000 0.0000 0.0000 Ta
0.0000 0.5000 0.0000 Sn
0.5000 0.0000 0.0000 Sn
0.5000 0.5000 0.5000 I
0.0000 0.0000 0.5000 Hg
```

Calculated values
The calculation puts the total energy at -20.60 eV/cell. Its crystal system is tetragonal. The energy relative to the elements, uncorrected comes out at 0.561 eV/atom. The value obtained for the density of states at the Fermi level is 6.60 states/eV/f.u.


Crystalline InFePt4 at its relaxed geometry, computed with GGA-PBEsol.

Geometry as POSCAR:
```
InFePt4
1.0
5.2167 0.0000 0.0000
2.6083 4.5178 0.0000
2.6083 1.5059 4.2594
Pt In Fe
4 1 1
direct
0.8742 0.3753 0.3753 Pt
0.3753 0.8742 0.3753 Pt
0.3753 0.3753 0.8742 Pt
0.3753 0.3753 0.3753 Pt
0.0000 0.0000 0.0000 In
0.7500 0.7500 0.7500 Fe
```

Calculated values
The calculation puts the total energy at -39.22 eV/cell. Its crystal system is cubic. The value obtained for the density of states at the Fermi level is 6.51 states/eV/f.u.


Crystalline NaZrCl2 at its relaxed geometry, computed with GGA-PBEsol.

Geometry as POSCAR:
```
NaZrCl2
1.0
3.3039 0.0000 0.0000
1.6520 2.8613 0.0000
1.6520 0.9538 9.7526
Cl Zr Na
2 1 1
direct
0.8947 0.8947 0.3158 Cl
0.1053 0.1053 0.6842 Cl
0.5000 0.5000 0.5000 Zr
0.0000 0.0000 0.0000 Na
```

Calculated values
The energy above the most stable polymorph in this dataset is 0.00 eV/f.u. The calculation puts the total energy at -19.28 eV/cell. Its crystal system is trigonal. The energy relative to the elements, uncorrected comes out at -1.192 eV/atom. The value obtained for the density of states at the Fermi level is 1.45 states/eV/f.u.


- Number 1 is which compound?
  SrAgIr2